The following is a GGA-PBE calculation of a relaxed structure of KCuSnHg2, from the Alexandria database.

It has space group P4/mmm (No. 123), with a = 5.295 Å, b = 5.295 Å, c = 5.102 Å, α = 90.00°, β = 90.00° and γ = 90.00°. Symmetry generates all atoms from K at (0.000, 0.000, 0.000), Cu at (0.500, 0.500, 0.500), Sn at (0.500, 0.500, 0.000) and Hg at (0.000, 0.500, 0.500).

The density of states at the Fermi level is 1.21 states/eV/f.u. As for the energy: -1.98 eV per atom. Its formation energy is -16 meV/atom. Its volume is 28.6 Å³/atom.

=====

The following is a GGA-PBE calculation of a relaxed structure of AcAgBiH, from the Alexandria database.

It has space group F-43m (No. 216), with a = 7.223 Å, b = 7.223 Å, c = 7.223 Å, α = 90.00°, β = 90.00° and γ = 90.00°. Symmetry generates all atoms from Ac at (0.000, 0.000, 0.000), Ag at (0.250, 0.250, 0.250), Bi at (0.000, 0.000, 0.500) and H at (0.250, 0.250, 0.750).

The density of states at the Fermi level is 1.23 states/eV/f.u. As for the energy: -3.80 eV per atom. Its volume is 23.5 Å³/atom.

=====

The following is a GGA-PBE calculation of a relaxed structure of NdAl12Cu6, from the Alexandria database.

It has space group R-3m (No. 166, hexagonal axes), with a = 11.2665 Å, b = 11.2665 Å, c = 8.5517 Å, α = 90.00°, β = 90.00° and γ = 120.00°. Symmetry generates all atoms from Nd at (0.0000, 0.0000, 0.0000), Al at (0.0000, 0.3834, 0.5000), Al at (0.0853, 0.1705, 0.3299) and Cu at (0.0356, 0.5178, 0.2515).

The density of states at the Fermi level is 5.74 states/eV/f.u. As for the energy: -4.03 eV per atom. Its formation energy is -117 meV/atom. Its volume is 16.5 Å³/atom.

=====

The following is a GGA-PBE calculation of a relaxed structure of KCu2Re, from the Alexandria database.

It has space group Immm (No. 71), with a = 2.588 Å, b = 5.910 Å, c = 10.880 Å, α = 90.00°, β = 90.00° and γ = 90.00°. Symmetry generates all atoms from K at (0.000, 0.000, 0.000), Cu at (0.000, 0.500, 0.202) and Re at (0.000, 0.000, 0.500).

The density of states at the Fermi level is 3.35 states/eV/f.u. As for the energy: -4.31 eV per atom. Its formation energy is 1123 meV/atom. Its volume is 20.8 Å³/atom. The calculation puts the distance to the lowest polymorph of the same formula at 472 meV per atom.

=====

Q: Which of these has the highest volume?
A: KCuSnHg2